## one
This record from the Alexandria database describes a relaxed structure of Y2MoC2. The functional is PBE.

Lattice parameters (Å, degrees): 6.439 6.439 3.604 90.00 90.00 90.00
Space group P4/mbm (No. 127)
Unique sites:
Y (0.154, 0.346, 0.000) [4 per cell]
Mo (0.000, 0.000, 0.500) [2 per cell]
C (0.171, 0.671, 0.500) [4 per cell]

Total magnetization, μB/atom: 0.000

## two
This record from the Alexandria database describes a relaxed structure of Y2MoC2. The functional is PBE.

Lattice parameters (Å, degrees): 6.674 5.133 10.014 90.00 90.00 90.00
Space group Pnma (No. 62)
Unique sites:
Y (0.044, 0.250, 0.220) [4 per cell]
Y (0.175, 0.250, 0.559) [4 per cell]
Mo (0.211, 0.250, 0.870) [4 per cell]
C (0.060, 0.750, 0.242) [4 per cell]
C (0.178, 0.750, 0.552) [4 per cell]

Total magnetization, μB/atom: 0.000

Relative calculated energies, zero for the most stable structure, unit meV per atom: one 432; two 0.

## one
This record from the Alexandria database describes a relaxed structure of ZnMo2C. The functional is PBE.

Lattice parameters (Å, degrees): 4.962 4.962 11.131 90.00 90.00 90.00
Space group I-42d (No. 122)
Unique sites:
Zn (0.000, 0.000, 0.000) [4 per cell]
Mo (0.140, 0.250, 0.625) [8 per cell]
C (0.000, 0.000, 0.500) [4 per cell]

Total magnetization, μB/atom: 0.000

## two
This record from the Alexandria database describes a relaxed structure of ZnMo2C. The functional is PBE.

Lattice parameters (Å, degrees): 3.0486 3.0486 20.2474 90.00 90.00 120.00
Space group R-3m (No. 166, hexagonal axes)
Unique sites:
Zn (0.0000, 0.0000, 0.0000) [3 per cell]
Mo (0.0000, 0.0000, 0.2241) [6 per cell]
C (0.0000, 0.0000, 0.5000) [3 per cell]

Total magnetization, μB/atom: 0.000

## three
This record from the Alexandria database describes a relaxed structure of ZnMo2C. The functional is PBE.

Lattice parameters (Å, degrees): 5.854 5.854 5.854 90.00 90.00 90.00
Space group Fm-3m (No. 225)
Unique sites:
Zn (0.000, 0.000, 0.000) [4 per cell]
Mo (0.250, 0.250, 0.250) [8 per cell]
C (0.000, 0.000, 0.500) [4 per cell]

Total magnetization, μB/atom: 0.000

Relative calculated energies, zero for the most stable structure, unit meV per atom: one 960; two 0; three 990.

## one
This record from the Alexandria database describes a relaxed structure of ZrMoC3. The functional is PBE.

Lattice parameters (Å, degrees): 4.005 4.005 4.005 90.00 90.00 90.00
Space group Pm-3m (No. 221)
Unique sites:
Zr (0.000, 0.000, 0.000) [1 per cell]
Mo (0.500, 0.500, 0.500) [1 per cell]
C (0.000, 0.500, 0.500) [3 per cell]

Total magnetization, μB/atom: 0.000

## two
This record from the Alexandria database describes a relaxed structure of ZrMoC3. The functional is PBE.

Lattice parameters (Å, degrees): 4.207 4.207 4.207 90.00 90.00 90.00
Space group Pm-3m (No. 221)
Unique sites:
Zr (0.000, 0.000, 0.000) [1 per cell]
Mo (0.500, 0.500, 0.500) [1 per cell]
C (0.000, 0.000, 0.500) [3 per cell]

Total magnetization, μB/atom: 0.530

Relative calculated energies, zero for the most stable structure, unit meV per atom: one 0; two 1232.

## one
This record from the Alexandria database describes a relaxed structure of Na3CN3. The functional is PBE.

Lattice parameters (Å, degrees): 9.4976 9.4976 4.0947 90.00 90.00 120.00
Space group R3m (No. 160, hexagonal axes)
Unique sites:
Na (0.1771, 0.3542, 0.0000) [9 per cell]
C (0.0000, 0.0000, 0.8344) [3 per cell]
N (0.1627, 0.0814, 0.8377) [9 per cell]

Total magnetization, μB/atom: 0.000

## two
This record from the Alexandria database describes a relaxed structure of Na3CN3. The functional is PBE.

Lattice parameters (Å, degrees): 6.9569 6.9569 4.8313 90.00 90.00 120.00
Space group P6_3/m (No. 176)
Unique sites:
Na (0.1685, 0.3584, 0.2500) [6 per cell]
C (0.3333, 0.6667, 0.7500) [2 per cell]
N (0.2109, 0.4444, 0.7500) [6 per cell]

Total magnetization, μB/atom: 0.000

Relative calculated energies, zero for the most stable structure, unit meV per atom: one 30; two 0.

## one
This record from the Alexandria database describes a relaxed structure of NaC3N. The functional is PBE.

Lattice parameters (Å, degrees): 3.716 3.716 3.716 90.00 90.00 90.00
Space group Pm-3m (No. 221)
Unique sites:
Na (0.000, 0.000, 0.000) [1 per cell]
C (0.000, 0.500, 0.500) [3 per cell]
N (0.500, 0.500, 0.500) [1 per cell]

Total magnetization, μB/atom: 0.000

## two
This record from the Alexandria database describes a relaxed structure of NaC3N. The functional is PBE.

Lattice parameters (Å, degrees): 4.551 4.551 4.551 90.00 90.00 90.00
Space group Pm-3m (No. 221)
Unique sites:
Na (0.000, 0.000, 0.000) [1 per cell]
C (0.000, 0.000, 0.500) [3 per cell]
N (0.500, 0.500, 0.500) [1 per cell]

Total magnetization, μB/atom: 0.386

Relative calculated energies, zero for the most stable structure, unit meV per atom: one 0; two 1632.

## one
This record from the Alexandria database describes a relaxed structure of NaCN. The functional is PBE.

Lattice parameters (Å, degrees): 8.497 4.666 6.149 90.00 92.82 90.00
Space group C2/m (No. 12)
Unique sites:
Na (0.166, 0.000, 0.263) [4 per cell]
C (0.161, 0.000, 0.848) [4 per cell]
N (0.168, 0.000, 0.657) [4 per cell]

Total magnetization, μB/atom: 0.000

## two
This record from the Alexandria database describes a relaxed structure of NaCN. The functional is PBE.

Lattice parameters (Å, degrees): 3.657 5.551 4.887 90.00 90.00 90.00
Space group Pmmn (No. 59, origin choice 2)
Unique sites:
Na (0.250, 0.250, 0.220) [2 per cell]
C (0.250, 0.750, 0.374) [2 per cell]
N (0.250, 0.750, 0.133) [2 per cell]

Total magnetization, μB/atom: 0.000

Relative calculated energies, zero for the most stable structure, unit meV per atom: one 24; two 0.

## one
This record from the Alexandria database describes a relaxed structure of NaCN. The functional is PBE.

Lattice parameters (Å, degrees): 3.720 3.720 2.598 90.00 90.00 90.00
Space group P4/mmm (No. 123)
Unique sites:
Na (0.000, 0.000, 0.000) [1 per cell]
C (0.500, 0.500, 0.500) [1 per cell]
N (0.500, 0.500, 0.000) [1 per cell]

Total magnetization, μB/atom: 0.000

## two
This record from the Alexandria database describes a relaxed structure of NaCN. The functional is PBE.

Lattice parameters (Å, degrees): 3.416 3.416 5.695 90.00 90.00 90.00
Space group P4/mmm (No. 123)
Unique sites:
Na (0.000, 0.000, 0.000) [1 per cell]
C (0.000, 0.000, 0.500) [1 per cell]
N (0.500, 0.500, 0.000) [1 per cell]

Total magnetization, μB/atom: 1.485

Relative calculated energies, zero for the most stable structure, unit meV per atom: one 0; two 2364.

## one
This record from the Alexandria database describes a relaxed structure of Na2C2N3. The functional is PBE.

Lattice parameters (Å, degrees): 9.822 2.506 6.567 90.00 119.35 90.00
Space group C2/m (No. 12)
Unique sites:
Na (0.087, 0.000, 0.292) [4 per cell]
C (0.181, 0.500, 0.849) [4 per cell]
N (0.000, 0.500, 0.500) [2 per cell]
N (0.226, 0.500, 0.118) [4 per cell]

Total magnetization, μB/atom: 0.000

## two
This record from the Alexandria database describes a relaxed structure of Na2C2N3. The functional is PBE.

Lattice parameters (Å, degrees): 10.358 2.464 5.405 90.00 91.15 90.00
Space group C2/m (No. 12)
Unique sites:
Na (0.153, 0.000, 0.288) [4 per cell]
C (0.090, 0.500, 0.830) [4 per cell]
N (0.000, 0.500, 0.000) [2 per cell]
N (0.141, 0.000, 0.736) [4 per cell]

Total magnetization, μB/atom: 0.000

Relative calculated energies, zero for the most stable structure, unit meV per atom: one 815; two 0.

## one
This record from the Alexandria database describes a relaxed structure of NaC2NO3. The functional is PBE.

Lattice parameters (Å, degrees): 3.548 5.227 22.833 90.00 92.32 90.00
Space group P2_1/c (No. 14)
Unique sites:
Na (0.204, 0.202, 0.198) [4 per cell]
C (0.358, 0.188, 0.334) [4 per cell]
C (0.360, 0.675, 0.067) [4 per cell]
N (0.460, 0.579, 0.114) [4 per cell]
O (0.251, 0.744, 0.020) [4 per cell]
O (0.280, 0.025, 0.294) [4 per cell]
O (0.300, 0.075, 0.832) [4 per cell]

Total magnetization, μB/atom: 0.004

## two
This record from the Alexandria database describes a relaxed structure of NaC2NO3. The functional is PBE.

Lattice parameters (Å, degrees): 3.739 5.398 20.728 90.00 99.28 90.00
Space group P2_1/c (No. 14)
Unique sites:
Na (0.221, 0.218, 0.188) [4 per cell]
C (0.186, 0.128, 0.408) [4 per cell]
C (0.273, 0.208, 0.339) [4 per cell]
N (0.378, 0.246, 0.459) [4 per cell]
O (0.044, 0.040, 0.590) [4 per cell]
O (0.282, 0.039, 0.298) [4 per cell]
O (0.307, 0.061, 0.833) [4 per cell]

Total magnetization, μB/atom: 0.289

Relative calculated energies, zero for the most stable structure, unit meV per atom: one 0; two 521.

## one
This record from the Alexandria database describes a relaxed structure of NaCSe2N. The functional is PBE.

Lattice parameters (Å, degrees): 6.034 6.034 2.511 90.00 90.00 90.00
Space group P4/mmm (No. 123)
Unique sites:
Na (0.000, 0.000, 0.000) [1 per cell]
C (0.500, 0.500, 0.500) [1 per cell]
Se (0.000, 0.500, 0.500) [2 per cell]
N (0.500, 0.500, 0.000) [1 per cell]

Total magnetization, μB/atom: 0.000

## two
This record from the Alexandria database describes a relaxed structure of NaCSe2N. The functional is PBE.

Lattice parameters (Å, degrees): 5.351 5.351 4.377 90.00 90.00 90.00
Space group P4/mmm (No. 123)
Unique sites:
Na (0.000, 0.000, 0.000) [1 per cell]
C (0.500, 0.500, 0.500) [1 per cell]
Se (0.000, 0.500, 0.000) [2 per cell]
N (0.000, 0.000, 0.500) [1 per cell]

Total magnetization, μB/atom: 0.772

Relative calculated energies, zero for the most stable structure, unit meV per atom: one 0; two 2315.

## one
This record from the Alexandria database describes a relaxed structure of NaTe2CN. The functional is PBE.

Lattice parameters (Å, degrees): 5.531 5.531 4.276 90.00 90.00 90.00
Space group P4/mmm (No. 123)
Unique sites:
Na (0.000, 0.000, 0.000) [1 per cell]
Te (0.000, 0.500, 0.000) [2 per cell]
C (0.500, 0.500, 0.500) [1 per cell]
N (0.000, 0.000, 0.500) [1 per cell]

Total magnetization, μB/atom: 0.609

## two
This record from the Alexandria database describes a relaxed structure of NaTe2CN. The functional is PBE.

Lattice parameters (Å, degrees): 6.367 6.367 2.665 90.00 90.00 90.00
Space group P4/mmm (No. 123)
Unique sites:
Na (0.000, 0.000, 0.000) [1 per cell]
Te (0.000, 0.500, 0.500) [2 per cell]
C (0.500, 0.500, 0.500) [1 per cell]
N (0.500, 0.500, 0.000) [1 per cell]

Total magnetization, μB/atom: 0.000

Relative calculated energies, zero for the most stable structure, unit meV per atom: one 1843; two 0.